A plane-wave DFT calculation with PBE was carried out for a relaxed structure of CeEr3Ru.

Cell lengths 7.3584, 7.3584, 7.3584 Å; angles 95.65, 121.79, 112.00 degrees
Closest atoms and distances in Å follow each position.
Positions (direct):
Ce 0.5130 0.7817 0.2313  2 Ru 2.64
Ce 0.5504 0.2817 0.7687  2 Ru 2.64
Er 0.0316 0.2540 0.7224  1 Ru 2.74
Er 0.0316 0.8092 0.2776  1 Ru 2.74
Er 0.5316 0.7540 0.7224  1 Ru 2.74
Er 0.0335 0.2816 0.2519  2 Ru 2.74
Er 0.5316 0.3092 0.2776  1 Ru 2.74
Er 0.0297 0.7816 0.7481  2 Ru 2.74
Ru 0.5316 0.0317 0.9998  2 Ce 2.64, 4 Er 2.74
Ru 0.0319 0.5317 0.0002  2 Ce 2.64, 4 Er 2.74

Calculated values
The formation energy is -0.131 eV/atom. The final energy is -5.91 eV per atom. As for the symmetry: Imma.

=====

A plane-wave DFT calculation with PBE was carried out for a relaxed structure of Ce2ErRu2.

Cell lengths 7.1424, 8.0756, 9.1215 Å; angles 90.00, 107.66, 90.00 degrees
Closest atoms and distances in Å follow each position.
Positions (direct):
Ce 0.5049 0.2835 0.0157  4 Ru 2.60-2.87
Ce 0.0049 0.2165 0.0157  4 Ru 2.60-2.87
Ce 0.9951 0.7835 0.9843  4 Ru 2.60-2.87
Ce 0.4951 0.7165 0.9843  4 Ru 2.60-2.87
Ce 0.8483 0.5758 0.3351  1 Ru 2.38
Ce 0.3483 0.9242 0.3351  1 Ru 2.38
Ce 0.6517 0.0758 0.6649  1 Ru 2.38
Ce 0.1517 0.4242 0.6649  1 Ru 2.38
Er 0.3464 0.4459 0.3261  4 Ru 2.82-2.93
Er 0.6536 0.5541 0.6739  4 Ru 2.82-2.93
Er 0.8464 0.0541 0.3261  4 Ru 2.82-2.93
Er 0.1536 0.9459 0.6739  4 Ru 2.82-2.93
Ru 0.7066 0.0210 0.9981  4 Ce 2.60-2.87, 1 Er 2.86
Ru 0.2066 0.4790 0.9981  4 Ce 2.60-2.87, 1 Er 2.86
Ru 0.7934 0.5210 0.0019  4 Ce 2.60-2.87, 1 Er 2.86
Ru 0.2934 0.9790 0.0019  4 Ce 2.60-2.87, 1 Er 2.86
Ru 0.7570 0.3465 0.4629  1 Ce 2.38
Ru 0.2570 0.1535 0.4629  1 Ce 2.38
Ru 0.7430 0.8465 0.5371  1 Ce 2.38
Ru 0.2430 0.6535 0.5371  1 Ce 2.38

Calculated values
The formation energy is -0.265 eV/atom. The final energy is -7.26 eV per atom. As for the symmetry: P2_1/c. The calculation puts the excess energy over the best structure of this formula in the dataset at 51 meV/atom.

=====

A plane-wave DFT calculation with PBE was carried out for a relaxed structure of CeErSc2Ru4.

Cell lengths 4.6895, 4.6895, 8.0631 Å; angles 73.09, 73.09, 60.00 degrees
Closest atoms and distances in Å follow each position.
Positions (direct):
Ce 0.5000 0.5000 0.5000  8 Ru 2.77-2.85
Er 0.0000 0.0000 0.0000  8 Ru 2.89-2.90
Sc 0.7467 0.7467 0.7598  8 Ru 2.82-2.92
Sc 0.2533 0.2533 0.2402  8 Ru 2.82-2.92
Ru 0.3782 0.3782 0.8653  1 Ce 2.77, 4 Sc 2.82-2.85, 3 Er 2.89
Ru 0.8725 0.8725 0.3824  3 Ce 2.85, 4 Sc 2.87-2.92, 1 Er 2.90
Ru 0.1275 0.1275 0.6176  3 Ce 2.85, 4 Sc 2.87-2.92, 1 Er 2.90
Ru 0.6218 0.6218 0.1347  1 Ce 2.77, 4 Sc 2.82-2.85, 3 Er 2.89

Calculated values
The formation energy is -0.516 eV/atom. The final energy is -8.05 eV per atom. As for the symmetry: R-3m.